# Tl2AuBr (PBE-GGA, optimized geometry)
data_Tl2AuBr
_space_group_name_H-M_alt 'P m m m'
_space_group_IT_number 47
_cell_length_a 3.8403
_cell_length_b 3.8505
_cell_length_c 7.8449
_cell_angle_alpha 90.00
_cell_angle_beta 90.00
_cell_angle_gamma 90.00
loop_
_space_group_symop_operation_xyz
'x,y,z'
'-x,-y,-z'
'-x,-y,z'
'x,y,-z'
'x,-y,-z'
'-x,y,z'
'-x,y,-z'
'x,-y,z'
loop_
_atom_site_label
_atom_site_fract_x
_atom_site_fract_y
_atom_site_fract_z
Tl1 0.0000 0.0000 0.2336
Au1 0.5000 0.5000 0.0000
Br1 0.5000 0.5000 0.5000
# Excess energy over the best structure of this formula in the dataset (meV per atom): 44
# Raw total energy (eV/atom): -2.73
# Spin magnetization (μB per cell): 0.000
# Volume (A^3/atom): 29.000
# ΔE_f (raw) (eV/atom): -0.307
# Crystal system: orthorhombic